1.
A geometry-optimized Co2NiTe structure. Source: the Alexandria database, functional PBEsol.

Cell: 3.7016 3.7016 3.6037 Å, 90.00 90.00 90.00°
Closest atoms and distances in Å follow each position.
Fractional coordinates of all 4 atoms:
Co 0.0000 0.5000 0.0000  4 Te 2.58, 4 Ni 2.58, 4 Co 2.62
Co 0.5000 0.0000 0.0000  4 Te 2.58, 4 Ni 2.58, 4 Co 2.62
Ni 0.0000 0.0000 0.5000  8 Co 2.58, 4 Te 2.62
Te 0.5000 0.5000 0.5000  8 Co 2.58, 4 Ni 2.62

E_form (uncorrected) = 0.108 eV per atom
E_tot = -24.73 eV per cell
theoretical density = 10.23 g/cm³

***

2.
A geometry-optimized CoNi3Te structure. Source: the Alexandria database, functional PBEsol.

Cell: 4.5109 4.5109 4.5109 Å, 90.00 90.00 90.00°
Closest atoms and distances in Å follow each position.
Fractional coordinates of all 5 atoms:
Co 0.0000 0.0000 0.0000  12 Ni 3.19
Ni 0.0000 0.5000 0.5000  2 Te 2.26
Ni 0.5000 0.0000 0.5000  2 Te 2.26
Ni 0.5000 0.5000 0.0000  2 Te 2.26
Te 0.5000 0.5000 0.5000  6 Ni 2.26

E_form (uncorrected) = 1.295 eV per atom
E_tot = -23.26 eV per cell
theoretical density = 6.56 g/cm³

***

3.
A geometry-optimized CoNiTe2 structure. Source: the Alexandria database, functional PBEsol.

Cell: 4.5489 4.5489 4.5489 Å, 60.00 60.00 60.00°
Closest atoms and distances in Å follow each position.
Fractional coordinates of all 4 atoms:
Co 0.0000 0.0000 0.0000  8 Te 2.79
Ni 0.5000 0.5000 0.5000  8 Te 2.79
Te 0.2500 0.2500 0.2500  4 Ni 2.79, 4 Co 2.79
Te 0.7500 0.7500 0.7500  4 Co 2.79, 4 Ni 2.79

polymorph energy (0 for the lowest one) = 0.464 eV/atom
E_form (uncorrected) = 0.284 eV per atom
E_tot = -19.81 eV per cell
theoretical density = 9.30 g/cm³

***

4.
A geometry-optimized CoNiTe2 structure. Source: the Alexandria database, functional PBEsol.

Cell: 4.6927 4.6927 4.6927 Å, 60.00 60.00 60.00°
Closest atoms and distances in Å follow each position.
Fractional coordinates of all 4 atoms:
Co 0.0000 0.0000 0.0000  4 Ni 2.87, 4 Te 2.87
Ni 0.7500 0.7500 0.7500  4 Te 2.87, 4 Co 2.87
Te 0.2500 0.2500 0.2500  4 Te 2.87, 4 Co 2.87
Te 0.5000 0.5000 0.5000  4 Te 2.87, 4 Ni 2.87

polymorph energy (0 for the lowest one) = 1.049 eV/atom
E_form (uncorrected) = 0.869 eV per atom
E_tot = -17.47 eV per cell
theoretical density = 8.47 g/cm³

***

5.
A geometry-optimized CoNi2Te structure. Source: the Alexandria database, functional PBEsol.

Cell: 3.5956 3.5956 4.2103 Å, 90.00 90.00 92.75°
Closest atoms and distances in Å follow each position.
Fractional coordinates of all 4 atoms:
Co 0.0000 0.0000 0.0000  4 Ni 2.42, 4 Te 2.48-2.60
Ni 0.2310 0.7690 0.5000  3 Ni 2.41-2.49, 2 Co 2.42, 2 Te 2.53
Ni 0.7690 0.2310 0.5000  3 Ni 2.41-2.49, 2 Co 2.42, 2 Te 2.53
Te 0.5000 0.5000 0.0000  4 Co 2.48-2.60, 4 Ni 2.53

E_form (uncorrected) = 0.273 eV per atom
E_tot = -22.48 eV per cell
theoretical density = 9.28 g/cm³

***

6.
A geometry-optimized CoNi2Te structure. Source: the Alexandria database, functional PBEsol.

Cell: 3.2354 3.2354 5.0712 Å, 90.00 90.00 90.00°
Closest atoms and distances in Å follow each position.
Fractional coordinates of all 4 atoms:
Co 0.0000 0.0000 0.0000  2 Te 2.54, 8 Ni 2.57
Ni 0.5000 0.5000 0.2318  1 Ni 2.35, 4 Co 2.57
Ni 0.5000 0.5000 0.7682  1 Ni 2.35, 4 Co 2.57
Te 0.0000 0.0000 0.5000  2 Co 2.54, 8 Ni 2.66

E_form (uncorrected) = 0.231 eV per atom
E_tot = -22.65 eV per cell
theoretical density = 9.51 g/cm³

***

7.
A geometry-optimized CoNiTe2 structure. Source: the Alexandria database, functional PBEsol.

Cell: 3.9173 3.9173 5.1775 Å, 90.00 90.00 120.00°
Closest atoms and distances in Å follow each position.
Fractional coordinates of all 4 atoms:
Co 0.0000 0.0000 0.0000  6 Te 2.58, 2 Ni 2.59
Ni 0.0000 0.0000 0.5000  2 Co 2.59, 6 Te 2.63
Te 0.3333 0.6667 0.7606  3 Co 2.58, 3 Ni 2.63
Te 0.6667 0.3333 0.2394  3 Co 2.58, 3 Ni 2.63

polymorph energy (0 for the lowest one) = 0.000 eV/atom
E_form (uncorrected) = -0.180 eV per atom
E_tot = -21.67 eV per cell
theoretical density = 9.00 g/cm³

***

8.
A geometry-optimized Ti2Co2Ni structure. Source: the Alexandria database, functional PBEsol.

Cell: 4.6933 4.6933 4.6933 Å, 124.29 124.29 82.71°
Closest atoms and distances in Å follow each position.
Fractional coordinates of all 5 atoms:
Ti 0.2500 0.7500 0.5000  4 Co 2.30
Ti 0.7500 0.2500 0.5000  4 Co 2.30
Co 0.1520 0.1520 0.0000  1 Co 2.14, 4 Ti 2.30
Co 0.8480 0.8480 0.0000  1 Co 2.14, 4 Ti 2.30
Ni 0.5000 0.5000 0.0000  2 Co 2.45

E_tot = -37.88 eV per cell
theoretical density = 6.67 g/cm³
DFT formation energy = 0.08 eV per atom

***

9.
A geometry-optimized TlCoNi2 structure. Source: the Alexandria database, functional PBEsol.

Cell: 4.3627 4.3627 2.8601 Å, 90.00 90.00 104.63°
Closest atoms and distances in Å follow each position.
Fractional coordinates of all 4 atoms:
Tl 0.0000 0.0000 0.0000  8 Ni 2.61, 2 Co 2.67, 2 Tl 2.86
Co 0.5000 0.5000 0.0000  8 Ni 2.61, 2 Tl 2.67, 2 Co 2.86
Ni 0.0000 0.5000 0.5000  4 Tl 2.61, 4 Co 2.61, 4 Ni 2.67-2.86
Ni 0.5000 0.0000 0.5000  4 Tl 2.61, 4 Co 2.61, 4 Ni 2.67-2.86

polymorph energy (0 for the lowest one) = 0.084 eV/atom
E_tot = -21.14 eV per cell
theoretical density = 12.00 g/cm³
DFT formation energy = 0.38 eV per atom

***

10.
A geometry-optimized TlCoNi structure. Source: the Alexandria database, functional PBEsol.

Cell: 2.9300 2.9300 6.0272 Å, 90.00 90.00 120.00°
Closest atoms and distances in Å follow each position.
Fractional coordinates of all 3 atoms:
Tl 0.0000 0.0000 0.0000  3 Ni 2.74, 3 Co 2.77, 6 Tl 2.93
Co 0.3333 0.6667 0.6363  3 Ni 2.39
Ni 0.6667 0.3333 0.3572  3 Co 2.39

E_tot = -14.68 eV per cell
theoretical density = 11.93 g/cm³
DFT formation energy = 0.61 eV per atom

***

11.
A geometry-optimized TlCoNi2 structure. Source: the Alexandria database, functional PBEsol.

Cell: 8.1356 8.1356 8.1356 Å, 20.04 20.04 20.04°
Closest atoms and distances in Å follow each position.
Fractional coordinates of all 4 atoms:
Tl 0.0000 0.0000 0.0000  3 Ni 2.71, 3 Co 2.77, 6 Tl 2.83
Co 0.7605 0.7605 0.7605  3 Ni 2.40
Ni 0.2427 0.2427 0.2427  3 Ni 2.44, 3 Tl 2.71
Ni 0.5004 0.5004 0.5004  3 Co 2.40, 3 Ni 2.44

polymorph energy (0 for the lowest one) = 0.286 eV/atom
E_tot = -20.34 eV per cell
theoretical density = 11.43 g/cm³
DFT formation energy = 0.59 eV per atom

***

12.
A geometry-optimized TlCoNi2 structure. Source: the Alexandria database, functional PBEsol.

Cell: 3.0235 3.0235 5.7301 Å, 90.00 90.00 90.00°
Closest atoms and distances in Å follow each position.
Fractional coordinates of all 4 atoms:
Tl 0.0000 0.0000 0.0000  6 Ni 2.68-2.87, 4 Co 2.74
Co 0.5000 0.5000 0.2985  5 Ni 2.40-2.43
Ni 0.0000 0.0000 0.4984  4 Co 2.43, 4 Ni 2.48
Ni 0.5000 0.5000 0.7173  1 Co 2.40, 4 Ni 2.48, 4 Tl 2.68

polymorph energy (0 for the lowest one) = 0.023 eV/atom
E_tot = -21.39 eV per cell
theoretical density = 12.07 g/cm³
DFT formation energy = 0.32 eV per atom

***

13.
A geometry-optimized TlCoNi2 structure. Source: the Alexandria database, functional PBEsol.

Cell: 2.8670 3.2436 5.6520 Å, 90.00 90.00 90.00°
Closest atoms and distances in Å follow each position.
Fractional coordinates of all 4 atoms:
Tl 0.0000 0.0000 0.0000  8 Ni 2.72, 2 Co 2.83, 2 Tl 2.87
Co 0.0000 0.0000 0.5000  8 Ni 2.47
Ni 0.5000 0.5000 0.2900  1 Ni 2.37, 4 Co 2.47
Ni 0.5000 0.5000 0.7100  1 Ni 2.37, 4 Co 2.47

polymorph energy (0 for the lowest one) = 0.000 eV/atom
E_tot = -21.48 eV per cell
theoretical density = 12.03 g/cm³
DFT formation energy = 0.30 eV per atom

***

14.
A geometry-optimized V6CoNi structure. Source: the Alexandria database, functional PBEsol.

Cell: 4.5961 4.5961 4.5961 Å, 90.00 90.00 90.00°
Closest atoms and distances in Å follow each position.
Fractional coordinates of all 8 atoms:
V 0.0000 0.2486 0.5000  2 V 2.29-2.31
V 0.0000 0.7514 0.5000  2 V 2.29-2.31
V 0.2486 0.5000 0.0000  2 V 2.29-2.31
V 0.5000 0.0000 0.2486  2 V 2.29-2.31
V 0.5000 0.0000 0.7514  2 V 2.29-2.31
V 0.7514 0.5000 0.0000  2 V 2.29-2.31
Co 0.0000 0.0000 0.0000  12 V 2.57
Ni 0.5000 0.5000 0.5000  12 V 2.57

E_tot = -73.25 eV per cell
theoretical density = 7.24 g/cm³
DFT formation energy = -0.19 eV per atom

***

15.
A geometry-optimized CoNi2W structure. Source: the Alexandria database, functional PBEsol.

Cell: 4.3711 4.3711 4.3711 Å, 131.72 131.72 70.67°
Closest atoms and distances in Å follow each position.
Fractional coordinates of all 4 atoms:
Co 0.0000 0.0000 0.0000  4 W 2.52, 8 Ni 2.52-2.53
Ni 0.5000 0.5000 0.0000  4 W 2.52, 4 Ni 2.52, 4 Co 2.53
Ni 0.7500 0.2500 0.5000  4 Co 2.52, 4 Ni 2.52, 4 W 2.53
W 0.2500 0.7500 0.5000  4 Co 2.52, 8 Ni 2.52-2.53

polymorph energy (0 for the lowest one) = 0.000 eV/atom
E_tot = -34.30 eV per cell
theoretical density = 13.12 g/cm³
DFT formation energy = -0.11 eV per atom